1.
# Rb2TlRuO4 PBE optimized geometry
# Crystal system ... tetragonal
# E_form (uncorrected) ... -8.44 eV per formula unit
data_Rb2TlRuO4
_chemical_formula_sum 'Rb4 Tl2 Ru2 O8'
_symmetry_space_group_name_H-M 'I -4'
_symmetry_Int_Tables_number 82
_symmetry_space_group_name_Hall 'I -4'
_cell_length_a 6.704
_cell_length_b 6.704
_cell_length_c 7.841
_cell_angle_alpha 90.00
_cell_angle_beta 90.00
_cell_angle_gamma 90.00
loop_
_atom_site_label
_atom_site_type_symbol
_atom_site_fract_x
_atom_site_fract_y
_atom_site_fract_z
Rb1 Rb 0.000 0.000 0.000
Rb2 Rb 0.000 0.500 0.250
Tl1 Tl 0.000 0.000 0.500
Ru1 Ru 0.000 0.500 0.750
O1 O 0.163 0.684 0.643

---

2.
# Rb2TlRuO6 PBE optimized geometry
# Crystal system ... trigonal
# E_form (uncorrected) ... -8.78 eV per formula unit
data_Rb2TlRuO6
_chemical_formula_sum 'Rb2 Tl1 Ru1 O6'
_symmetry_space_group_name_H-M 'P -3 m 1'
_symmetry_Int_Tables_number 164
_symmetry_space_group_name_Hall '-P 3 2"'
_cell_length_a 6.3262
_cell_length_b 6.3262
_cell_length_c 5.8878
_cell_angle_alpha 90.00
_cell_angle_beta 90.00
_cell_angle_gamma 120.00
loop_
_atom_site_label
_atom_site_type_symbol
_atom_site_fract_x
_atom_site_fract_y
_atom_site_fract_z
Rb1 Rb 0.3333 0.6667 0.1496
Tl1 Tl 0.0000 0.0000 0.5000
Ru1 Ru 0.0000 0.0000 0.0000
O1 O 0.1395 0.2791 0.8053